Record 1
AlGe2Bi GGA-PBE relaxed; magnetization = 0.00 μB/atom; space-group type = No. 225; calculated volume = 22.558 Å³/atom; distance to the lowest polymorph of the same formula = 21.5 kJ per mole of atoms
1.0
7.120 0.000 0.000
0.000 7.120 0.000
0.000 0.000 7.120
Al Ge Bi
4 8 4
Direct
0.000 0.000 0.000 Al
0.000 0.500 0.500 Al
0.500 0.000 0.500 Al
0.500 0.500 0.000 Al
0.250 0.250 0.250 Ge
0.250 0.250 0.750 Ge
0.250 0.750 0.250 Ge
0.250 0.750 0.750 Ge
0.750 0.250 0.250 Ge
0.750 0.250 0.750 Ge
0.750 0.750 0.250 Ge
0.750 0.750 0.750 Ge
0.000 0.000 0.500 Bi
0.000 0.500 0.000 Bi
0.500 0.000 0.000 Bi
0.500 0.500 0.500 Bi

Record 2
AlGe2Bi2 GGA-PBE relaxed; magnetization = 0.00 μB/atom; space-group type = No. 127; calculated volume = 25.898 Å³/atom; calculated total energy = -3.99 eV/atom
1.0
6.643 0.000 0.000
0.000 6.643 0.000
0.000 0.000 5.868
Al Ge Bi
2 4 4
Direct
0.000 0.000 0.000 Al
0.500 0.500 0.000 Al
0.135 0.365 0.000 Ge
0.365 0.865 0.000 Ge
0.635 0.135 0.000 Ge
0.865 0.635 0.000 Ge
0.222 0.278 0.500 Bi
0.278 0.778 0.500 Bi
0.722 0.222 0.500 Bi
0.778 0.722 0.500 Bi

Record 3
AlGeBi2 GGA-PBE relaxed; magnetization = 0.00 μB/atom; space-group type = No. 122; calculated volume = 35.330 Å³/atom; calculated total energy = -3.80 eV/atom
1.0
6.528 0.000 0.000
0.000 6.528 0.000
0.000 0.000 13.267
Al Ge Bi
4 4 8
Direct
0.000 0.000 0.000 Al
0.000 0.500 0.250 Al
0.500 0.000 0.750 Al
0.500 0.500 0.500 Al
0.000 0.000 0.500 Ge
0.000 0.500 0.750 Ge
0.500 0.000 0.250 Ge
0.500 0.500 0.000 Ge
0.243 0.250 0.125 Bi
0.250 0.743 0.375 Bi
0.250 0.757 0.875 Bi
0.257 0.250 0.625 Bi
0.743 0.750 0.625 Bi
0.750 0.243 0.875 Bi
0.750 0.257 0.375 Bi
0.757 0.750 0.125 Bi

Record 4
Al2Ge2Bi GGA-PBE relaxed; magnetization = 0.00 μB/atom; space-group type = No. 127; calculated volume = 20.643 Å³/atom; distance to the lowest polymorph of the same formula = 0.3 kJ per mole of atoms
1.0
8.122 0.000 0.000
0.000 8.122 0.000
0.000 0.000 3.129
Al Ge Bi
4 4 2
Direct
0.140 0.360 0.000 Al
0.360 0.860 0.000 Al
0.640 0.140 0.000 Al
0.860 0.640 0.000 Al
0.152 0.652 0.500 Ge
0.348 0.152 0.500 Ge
0.652 0.848 0.500 Ge
0.848 0.348 0.500 Ge
0.000 0.000 0.000 Bi
0.500 0.500 0.000 Bi

Record 5
Al2GeBi2 GGA-PBE relaxed; magnetization = 0.00 μB/atom; space-group type = No. 127; calculated volume = 25.907 Å³/atom; distance to the lowest polymorph of the same formula = 15.3 kJ per mole of atoms
1.0
8.212 0.000 0.000
0.000 8.212 0.000
0.000 0.000 3.841
Al Ge Bi
4 2 4
Direct
0.126 0.374 0.000 Al
0.374 0.874 0.000 Al
0.626 0.126 0.000 Al
0.874 0.626 0.000 Al
0.000 0.000 0.500 Ge
0.500 0.500 0.500 Ge
0.171 0.671 0.500 Bi
0.329 0.171 0.500 Bi
0.671 0.829 0.500 Bi
0.829 0.329 0.500 Bi

Record 6
AlInGe2Bi GGA-PBE relaxed; magnetization = 0.00 μB/atom; space-group type = No. 123; calculated volume = 32.198 Å³/atom; calculated total energy = -2.99 eV/atom
1.0
5.211 0.000 0.000
0.000 5.211 0.000
0.000 0.000 5.928
Al In Ge Bi
1 1 2 1
Direct
0.000 0.000 0.000 Al
0.500 0.500 0.500 In
0.000 0.500 0.500 Ge
0.500 0.000 0.500 Ge
0.500 0.500 0.000 Bi

Record 7
AlGeBiO5 GGA-PBE relaxed; magnetization = 0.00 μB/atom; space-group type = No. 15; calculated volume = 12.138 Å³/atom; formation energy without anion corrections = -1.947 eV/atom
1.0
3.350 -4.478 0.000
3.350 4.478 0.000
-2.713 0.000 6.474
Al Ge Bi O
2 2 2 10
Direct
0.000 0.000 0.000 Al
0.000 0.000 0.500 Al
0.323 0.677 0.750 Ge
0.677 0.323 0.250 Ge
0.310 0.690 0.250 Bi
0.690 0.310 0.750 Bi
0.066 0.934 0.250 O
0.102 0.690 0.898 O
0.237 0.366 0.569 O
0.310 0.898 0.602 O
0.366 0.237 0.069 O
0.634 0.763 0.931 O
0.690 0.102 0.398 O
0.763 0.634 0.431 O
0.898 0.310 0.102 O
0.934 0.066 0.750 O

Record 8
Al2GeBiPb GGA-PBE relaxed; magnetization = 0.00 μB/atom; space-group type = No. 123; calculated volume = 33.410 Å³/atom; calculated total energy = -3.04 eV/atom
1.0
5.448 0.000 0.000
0.000 5.448 0.000
0.000 0.000 5.628
Al Ge Bi Pb
2 1 1 1
Direct
0.000 0.500 0.000 Al
0.500 0.000 0.000 Al
0.000 0.000 0.500 Ge
0.000 0.000 0.000 Bi
0.500 0.500 0.500 Pb

Record 9
AlGe2BiRu GGA-PBE relaxed; magnetization = 0.00 μB/atom; space-group type = No. 123; calculated volume = 25.078 Å³/atom; calculated total energy = -4.84 eV/atom
1.0
4.714 0.000 0.000
0.000 4.714 0.000
0.000 0.000 5.642
Al Ge Bi Ru
1 2 1 1
Direct
0.000 0.000 0.000 Al
0.000 0.500 0.500 Ge
0.500 0.000 0.500 Ge
0.500 0.500 0.000 Bi
0.500 0.500 0.500 Ru

Record 10
Sc2AlGeBi GGA-PBE relaxed; magnetization = 0.00 μB/atom; space-group type = No. 123; calculated volume = 28.219 Å³/atom; calculated total energy = -4.79 eV/atom
1.0
5.078 0.000 0.000
0.000 5.078 0.000
0.000 0.000 5.472
Sc Al Ge Bi
2 1 1 1
Direct
0.000 0.500 0.000 Sc
0.500 0.000 0.000 Sc
0.000 0.000 0.500 Al
0.500 0.500 0.000 Ge
0.500 0.500 0.500 Bi

Record 11
TiAlGe2Bi GGA-PBE relaxed; magnetization = 0.01 μB/atom; space-group type = No. 123; calculated volume = 25.130 Å³/atom; calculated total energy = -4.15 eV/atom
1.0
4.745 0.000 0.000
0.000 4.745 0.000
0.000 0.000 5.580
Ti Al Ge Bi
1 1 2 1
Direct
0.000 0.000 0.000 Ti
0.500 0.500 0.500 Al
0.000 0.500 0.500 Ge
0.500 0.000 0.500 Ge
0.500 0.500 0.000 Bi

Record 12
AlBiH3 GGA-PBE relaxed; magnetization = 0.00 μB/atom; space-group type = No. 221; calculated volume = 11.305 Å³/atom; distance to the lowest polymorph of the same formula = 0.0 kJ per mole of atoms
1.0
3.838 0.000 0.000
0.000 3.838 0.000
0.000 0.000 3.838
Al Bi H
1 1 3
Direct
0.000 0.000 0.000 Al
0.500 0.500 0.500 Bi
0.000 0.000 0.500 H
0.000 0.500 0.000 H
0.500 0.000 0.000 H

Record 13
AlBiH3 GGA-PBE relaxed; magnetization = 0.00 μB/atom; space-group type = No. 221; calculated volume = 15.606 Å³/atom; distance to the lowest polymorph of the same formula = 24.0 kJ per mole of atoms
1.0
4.273 0.000 0.000
0.000 4.273 0.000
0.000 0.000 4.273
Al Bi H
1 1 3
Direct
0.000 0.000 0.000 Al
0.500 0.500 0.500 Bi
0.000 0.500 0.500 H
0.500 0.000 0.500 H
0.500 0.500 0.000 H

Record 14
Al2BiH6 GGA-PBE relaxed; magnetization = 0.00 μB/atom; space-group type = No. 225; calculated volume = 12.331 Å³/atom; calculated total energy = -2.63 eV/atom
1.0
0.000 3.814 3.814
3.814 0.000 3.814
3.814 3.814 0.000
Al Bi H
2 1 6
Direct
0.250 0.250 0.250 Al
0.750 0.750 0.750 Al
0.000 0.000 0.000 Bi
0.271 0.271 0.729 H
0.271 0.729 0.271 H
0.271 0.729 0.729 H
0.729 0.271 0.271 H
0.729 0.271 0.729 H
0.729 0.729 0.271 H

Record 15
AlBi2H GGA-PBE relaxed; magnetization = 0.00 μB/atom; space-group type = No. 122; calculated volume = 25.504 Å³/atom; distance to the lowest polymorph of the same formula = 0.0 kJ per mole of atoms
1.0
6.103 0.000 0.000
0.000 6.103 0.000
0.000 0.000 10.955
Al Bi H
4 8 4
Direct
0.000 0.000 0.000 Al
0.000 0.500 0.250 Al
0.500 0.000 0.750 Al
0.500 0.500 0.500 Al
0.172 0.250 0.625 Bi
0.250 0.672 0.875 Bi
0.250 0.828 0.375 Bi
0.328 0.250 0.125 Bi
0.672 0.750 0.125 Bi
0.750 0.172 0.375 Bi
0.750 0.328 0.875 Bi
0.828 0.750 0.625 Bi
0.000 0.000 0.500 H
0.000 0.500 0.750 H
0.500 0.000 0.250 H
0.500 0.500 0.000 H

Record 16
Al2BiH GGA-PBE relaxed; magnetization = 0.00 μB/atom; space-group type = No. 225; calculated volume = 20.032 Å³/atom; distance to the lowest polymorph of the same formula = 28.0 kJ per mole of atoms
1.0
6.844 0.000 0.000
0.000 6.844 0.000
0.000 0.000 6.844
Al Bi H
8 4 4
Direct
0.250 0.250 0.250 Al
0.250 0.250 0.750 Al
0.250 0.750 0.250 Al
0.250 0.750 0.750 Al
0.750 0.250 0.250 Al
0.750 0.250 0.750 Al
0.750 0.750 0.250 Al
0.750 0.750 0.750 Al
0.000 0.000 0.000 Bi
0.000 0.500 0.500 Bi
0.500 0.000 0.500 Bi
0.500 0.500 0.000 Bi
0.000 0.000 0.500 H
0.000 0.500 0.000 H
0.500 0.000 0.000 H
0.500 0.500 0.500 H

Record 17
AlBiH GGA-PBE relaxed; magnetization = 0.00 μB/atom; space-group type = No. 129; calculated volume = 19.368 Å³/atom; distance to the lowest polymorph of the same formula = 35.6 kJ per mole of atoms
1.0
3.756 0.000 0.000
0.000 3.756 0.000
0.000 0.000 8.239
Al Bi H
2 2 2
Direct
0.250 0.750 0.000 Al
0.750 0.250 0.000 Al
0.250 0.250 0.310 Bi
0.750 0.750 0.690 Bi
0.250 0.250 0.556 H
0.750 0.750 0.444 H

Record 18
AlBi3H GGA-PBE relaxed; magnetization = 0.00 μB/atom; space-group type = No. 221; calculated volume = 24.065 Å³/atom; distance to the lowest polymorph of the same formula = 0.0 kJ per mole of atoms
1.0
4.937 0.000 0.000
0.000 4.937 0.000
0.000 0.000 4.937
Al Bi H
1 3 1
Direct
0.000 0.000 0.000 Al
0.000 0.500 0.500 Bi
0.500 0.000 0.500 Bi
0.500 0.500 0.000 Bi
0.500 0.500 0.500 H

Record 19
AlBiH GGA-PBE relaxed; magnetization = 0.00 μB/atom; space-group type = No. 64; calculated volume = 20.168 Å³/atom; distance to the lowest polymorph of the same formula = 0.0 kJ per mole of atoms
1.0
2.367 -6.076 0.000
2.367 6.076 0.000
0.000 0.000 8.413
Al Bi H
4 4 4
Direct
0.078 0.922 0.891 Al
0.422 0.578 0.391 Al
0.578 0.422 0.609 Al
0.922 0.078 0.109 Al
0.189 0.811 0.378 Bi
0.311 0.689 0.878 Bi
0.689 0.311 0.122 Bi
0.811 0.189 0.622 Bi
0.206 0.294 0.250 H
0.294 0.206 0.750 H
0.706 0.794 0.250 H
0.794 0.706 0.750 H

Record 20
Al2BiH GGA-PBE relaxed; magnetization = 0.00 μB/atom; space-group type = No. 122; calculated volume = 19.596 Å³/atom; distance to the lowest polymorph of the same formula = 0.0 kJ per mole of atoms
1.0
5.169 0.000 0.000
0.000 5.169 0.000
0.000 0.000 11.734
Al Bi H
8 4 4
Direct
0.062 0.250 0.125 Al
0.250 0.562 0.375 Al
0.250 0.938 0.875 Al
0.438 0.250 0.625 Al
0.562 0.750 0.625 Al
0.750 0.062 0.875 Al
0.750 0.438 0.375 Al
0.938 0.750 0.125 Al
0.000 0.000 0.500 Bi
0.000 0.500 0.750 Bi
0.500 0.000 0.250 Bi
0.500 0.500 0.000 Bi
0.000 0.000 0.000 H
0.000 0.500 0.250 H
0.500 0.000 0.750 H
0.500 0.500 0.500 H